This record from the Alexandria database describes an optimized crystal structure of LiIr2Ru. The functional is PBE.

For the density of states at the Fermi level, the calculation gives 4.5 states/eV per cell. For the energy of formation from the pure elements, the calculation gives 0.1330 eV/atom. Its raw total energy is -7.095 eV/atom. For the energy above the most stable polymorph in this dataset, the calculation gives 0.64 eV/f.u. Its calculated volume is 13.639 Å³/atom. For the theoretical density, the calculation gives 15.0 g/cm3.

It has space group P4mm (No. 99), with a = 2.755 Å, b = 2.755 Å, c = 7.187 Å, α = 90.00°, β = 90.00° and γ = 90.00°. Symmetry generates all atoms from Li at (0.000, 0.000, 0.000), Ir at (0.000, 0.000, 0.499), Ir at (0.500, 0.500, 0.763) and Ru at (0.500, 0.500, 0.247).